The following is a SCAN calculation of a PBEsol-optimized structure of MgTc2Au, from Alexandria via LeMat-Bulk.

## Properties
Space-group type: Pmm2 (25)
Energy relative to the lowest polymorph listed for this composition: 8.3 kJ/mol of atoms
Theoretical density: 11.2 g/cm³
Total magnetic moment: 0.000 Bohr magnetons per cell
Formation energy: -29 meV per atom

Cell lengths 2.8222, 3.7881, 5.8051 Å; angles 90.00, 90.00, 90.00 degrees
Fractional coordinates of all 4 atoms:
Tc 0.0000 0.0000 0.0333
Tc 0.5000 0.5000 0.2141
Mg 0.5000 0.5000 0.7408
Au 0.0000 0.0000 0.5119